## Mg2SbPt (PBEsol)

Data for a relaxed Mg2SbPt crystal.

Cell: 9.0660 9.0660 9.0660 Å, 20.43 20.43 20.43°
Fractional positions:
Mg 0.2382 0.2382 0.2382
Mg 0.7618 0.7618 0.7618
Sb 0.0000 0.0000 0.0000
Pt 0.5000 0.5000 0.5000

Results
Formation energy without anion corrections in eV per atom: -0.295
Space-group type: R-3m, No. 166


## MgSc3Pt (PBEsol)

Data for a relaxed MgSc3Pt crystal.

Cell: 5.0730 5.0730 5.0730 Å, 90.00 90.00 90.00°
Fractional positions:
Mg 0.0000 0.0000 0.0000
Sc 0.0000 0.5000 0.5000
Sc 0.5000 0.0000 0.5000
Sc 0.5000 0.5000 0.0000
Pt 0.5000 0.5000 0.5000

Results
ΔH_f (0 K) in meV per atom: -221
Space-group type: Pm-3m, No. 221


## Mg2ScPt (PBEsol)

Data for a relaxed Mg2ScPt crystal.

Cell: 3.3262 3.3262 7.0515 Å, 90.00 90.00 90.00°
Fractional positions:
Mg 0.0000 0.0000 0.0000
Mg 0.5000 0.5000 0.2790
Sc 0.0000 0.0000 0.5815
Pt 0.5000 0.5000 0.7762

Results
ΔH_f (0 K) in meV per atom: -574
Space-group type: P4mm, No. 99


## Mg2ScPt (PBEsol)

Data for a relaxed Mg2ScPt crystal.

Cell: 4.6598 4.6598 4.6598 Å, 60.00 60.00 60.00°
Fractional positions:
Mg 0.0000 0.0000 0.0000
Mg 0.2500 0.2500 0.2500
Sc 0.7500 0.7500 0.7500
Pt 0.5000 0.5000 0.5000

Results
ΔH_f (0 K) in meV per atom: -586
Space-group type: F-43m, No. 216


## MgScZn2Pt (PBEsol)

Data for a relaxed MgScZn2Pt crystal.

Cell: 4.5707 4.5707 4.6735 Å, 90.00 90.00 90.00°
Fractional positions:
Mg 0.0000 0.0000 0.0000
Sc 0.5000 0.5000 0.5000
Zn 0.0000 0.5000 0.0000
Zn 0.5000 0.0000 0.0000
Pt 0.0000 0.0000 0.5000

Results
ΔH_f (0 K) in meV per atom: 362
Space-group type: P4/mmm, No. 123


## MgPtSe4 (PBEsol)

Data for a relaxed MgPtSe4 crystal.

Cell: 5.5417 5.5417 5.5417 Å, 60.00 60.00 60.00°
Fractional positions:
Mg 0.0000 0.0000 0.0000
Pt 0.2500 0.2500 0.2500
Se 0.1286 0.6238 0.6238
Se 0.6238 0.1286 0.6238
Se 0.6238 0.6238 0.1286
Se 0.6238 0.6238 0.6238

Results
Formation energy without anion corrections in eV per atom: 0.522
Space-group type: F-43m, No. 216